# PBE Nd3Dy6Th, optimized geometry
# * VASP energy: -0.1730 hartree per atom
# * energy relative to the elements: 21.9 kJ per mole of atoms
# * magnetization: 0.00 μB per formula unit
# * crystal system: monoclinic
# * E above lowest polymorph: 83.6 meV/atom
data_Nd3Dy6Th
_symmetry_space_group_name_H-M 'C 1 2/m 1'
_symmetry_Int_Tables_number 12
_cell_length_a 11.4957
_cell_length_b 6.6169
_cell_length_c 9.6103
_cell_angle_alpha 90.00
_cell_angle_beta 114.15
_cell_angle_gamma 90.00
loop_
_symmetry_equiv_pos_as_xyz
'x,y,z'
'-x,-y,-z'
'-x,y,-z'
'x,-y,z'
'x+1/2,y+1/2,z'
'-x+1/2,-y+1/2,-z'
'-x+1/2,y+1/2,-z'
'x+1/2,-y+1/2,z'
loop_
_atom_site_label
_atom_site_type_symbol
_atom_site_fract_x
_atom_site_fract_y
_atom_site_fract_z
_atom_site_occupancy
Nd1 Nd 0.0000 0.0000 0.0000 1
Nd2 Nd 0.0687 0.0000 0.6897 1
Dy1 Dy 0.1355 0.5000 0.9178 1
Dy2 Dy 0.1858 0.2521 0.3141 1
Th1 Th 0.0000 0.5000 0.5000 1

=====

# PBE Nd2Dy3Th, optimized geometry
# * VASP energy: -0.1871 hartree per atom
# * energy relative to the elements: 3.6 kJ per mole of atoms
# * magnetization: 0.00 μB per formula unit
# * crystal system: triclinic
# * E above lowest polymorph: 0.0 meV/atom
data_Nd2Dy3Th
_symmetry_space_group_name_H-M 'P -1'
_symmetry_Int_Tables_number 2
_cell_length_a 6.2358
_cell_length_b 8.0269
_cell_length_c 8.8085
_cell_angle_alpha 111.19
_cell_angle_beta 90.25
_cell_angle_gamma 104.91
loop_
_symmetry_equiv_pos_as_xyz
'x,y,z'
'-x,-y,-z'
loop_
_atom_site_label
_atom_site_type_symbol
_atom_site_fract_x
_atom_site_fract_y
_atom_site_fract_z
_atom_site_occupancy
Nd1 Nd 0.1214 0.1214 0.3774 1
Nd2 Nd 0.3758 0.3784 0.1231 1
Dy1 Dy 0.2062 0.8670 0.9591 1
Dy2 Dy 0.2861 0.6240 0.5415 1
Dy3 Dy 0.4595 0.1268 0.7086 1
Th1 Th 0.0368 0.3775 0.7947 1